[1]
# Er3ZrCd12 (PBE, optimized geometry)
data_Er3ZrCd12
_chemical_formula_sum 'Er3 Zr1 Cd12'
_cell_length_a 4.459
_cell_length_b 4.459
_cell_length_c 18.686
_cell_angle_alpha 90.00
_cell_angle_beta 90.00
_cell_angle_gamma 90.00
_symmetry_space_group_name_H-M 'P 1'
_symmetry_Int_Tables_number 1
loop_
_symmetry_equiv_pos_as_xyz
'x,y,z'
loop_
_atom_site_label
_atom_site_type_symbol
_atom_site_fract_x
_atom_site_fract_y
_atom_site_fract_z
Er1 Er 0.000 0.000 0.500
Er2 Er 0.000 0.000 0.755
Er3 Er 0.000 0.000 0.245
Cd1 Cd 0.000 0.500 0.881
Cd2 Cd 0.500 0.500 0.244
Cd3 Cd 0.500 0.500 0.000
Cd4 Cd 0.500 0.000 0.628
Cd5 Cd 0.500 0.000 0.372
Cd6 Cd 0.500 0.500 0.500
Cd7 Cd 0.000 0.500 0.372
Cd8 Cd 0.500 0.500 0.756
Cd9 Cd 0.000 0.500 0.628
Cd10 Cd 0.500 0.000 0.119
Cd11 Cd 0.500 0.000 0.881
Cd12 Cd 0.000 0.500 0.119
Zr1 Zr 0.000 0.000 0.000
# **DFT formation energy**: -0.19 eV/atom
# **V**: 371 Å³/f.u.



[2]
# SrFeOs (PBE, optimized geometry)
data_SrFeOs
_chemical_formula_sum 'Sr1 Fe1 Os1'
_cell_length_a 4.411
_cell_length_b 4.411
_cell_length_c 4.411
_cell_angle_alpha 60.00
_cell_angle_beta 60.00
_cell_angle_gamma 60.00
_symmetry_space_group_name_H-M 'P 1'
_symmetry_Int_Tables_number 1
loop_
_symmetry_equiv_pos_as_xyz
'x,y,z'
loop_
_atom_site_label
_atom_site_type_symbol
_atom_site_fract_x
_atom_site_fract_y
_atom_site_fract_z
Os1 Os 0.250 0.250 0.250
Sr1 Sr 0.750 0.750 0.750
Fe1 Fe 0.000 0.000 0.000
# **DFT formation energy**: 1.29 eV/atom
# **V**: 61 Å³/f.u.



[3]
# Ni3BAs (PBE, optimized geometry)
data_Ni3BAs
_chemical_formula_sum 'Ni3 B1 As1'
_cell_length_a 4.317
_cell_length_b 4.317
_cell_length_c 4.317
_cell_angle_alpha 90.00
_cell_angle_beta 90.00
_cell_angle_gamma 90.00
_symmetry_space_group_name_H-M 'P 1'
_symmetry_Int_Tables_number 1
loop_
_symmetry_equiv_pos_as_xyz
'x,y,z'
loop_
_atom_site_label
_atom_site_type_symbol
_atom_site_fract_x
_atom_site_fract_y
_atom_site_fract_z
Ni1 Ni 0.000 0.000 0.500
Ni2 Ni 0.500 0.000 0.000
Ni3 Ni 0.000 0.500 0.000
B1 B 0.500 0.500 0.500
As1 As 0.000 0.000 0.000
# **DFT formation energy**: 1.25 eV/atom
# **V**: 80 Å³/f.u.



[4]
# BaYZr2 (PBE, optimized geometry)
data_BaYZr2
_chemical_formula_sum 'Ba1 Y1 Zr2'
_cell_length_a 5.237
_cell_length_b 3.467
_cell_length_c 7.261
_cell_angle_alpha 76.43
_cell_angle_beta 90.00
_cell_angle_gamma 90.00
_symmetry_space_group_name_H-M 'P 1'
_symmetry_Int_Tables_number 1
loop_
_symmetry_equiv_pos_as_xyz
'x,y,z'
loop_
_atom_site_label
_atom_site_type_symbol
_atom_site_fract_x
_atom_site_fract_y
_atom_site_fract_z
Zr1 Zr 0.500 0.091 0.195
Zr2 Zr 0.000 0.177 0.016
Ba1 Ba 0.000 0.453 0.477
Y1 Y 0.500 0.778 0.812
# **DFT formation energy**: 0.36 eV/atom
# **V**: 128 Å³/f.u.



Question: Which of these has the highest DFT formation energy?
Answer: SrFeOs